Record 1
First-principles (PBE) data for Cs3Tl3Cd2 after structural relaxation, as listed in the Alexandria database.

Structure (POSCAR):
```
Cs3Tl3Cd2
1.0
-0.153 -6.960 2.671
10.067 0.354 1.501
-2.832 6.740 17.403
Cs Tl Cd
12 12 8
direct
0.113 0.470 0.394 Cs
0.613 0.030 0.606 Cs
0.887 0.530 0.894 Cs
0.387 0.970 0.106 Cs
0.887 0.530 0.606 Cs
0.387 0.970 0.394 Cs
0.113 0.470 0.106 Cs
0.613 0.030 0.894 Cs
0.578 0.307 0.250 Cs
0.078 0.193 0.750 Cs
0.422 0.693 0.750 Cs
0.922 0.807 0.250 Cs
0.054 0.168 0.250 Tl
0.554 0.332 0.750 Tl
0.946 0.832 0.750 Tl
0.446 0.668 0.250 Tl
0.600 0.333 0.460 Tl
0.100 0.167 0.540 Tl
0.400 0.667 0.960 Tl
0.900 0.833 0.040 Tl
0.400 0.667 0.540 Tl
0.900 0.833 0.460 Tl
0.600 0.333 0.040 Tl
0.100 0.167 0.960 Tl
0.888 0.122 0.400 Cd
0.388 0.378 0.600 Cd
0.112 0.878 0.900 Cd
0.612 0.622 0.100 Cd
0.112 0.878 0.600 Cd
0.612 0.622 0.400 Cd
0.888 0.122 0.100 Cd
0.388 0.378 0.900 Cd
```

Computed properties:
Density of states at the Fermi level   0.890 states/eV/atom
Relative energy among the computed polymorphs   0.0340 eV per atom
Crystal system   orthorhombic


Record 2
First-principles (PBE) data for Y2Zn5Ni4 after structural relaxation, as listed in the Alexandria database.

Structure (POSCAR):
```
Y2Zn5Ni4
1.0
-3.052 -3.835 1.626
1.597 -4.852 -0.247
1.508 -1.284 8.001
Y Zn Ni
2 5 4
direct
0.860 0.000 0.280 Y
0.140 0.000 0.720 Y
0.500 0.000 0.000 Zn
0.000 0.500 0.000 Zn
0.500 0.500 0.000 Zn
0.250 0.500 0.500 Zn
0.750 0.500 0.500 Zn
0.472 0.313 0.743 Ni
0.528 0.687 0.257 Ni
0.215 0.313 0.257 Ni
0.785 0.687 0.743 Ni
```

Computed properties:
E_tot   -4.193 eV/atom
Density of states at the Fermi level   0.586 states/eV/atom
Crystal system   orthorhombic


Record 3
First-principles (PBE) data for Li2CrCl after structural relaxation, as listed in the Alexandria database.

Structure (POSCAR):
```
Li2CrCl
1.0
-0.104 -1.387 3.067
0.926 -2.962 -1.307
7.538 1.870 1.102
Cl Cr Li
1 1 2
direct
0.000 0.000 0.340 Cl
0.500 0.500 0.826 Cr
0.000 0.000 0.033 Li
0.500 0.500 0.302 Li
```

Computed properties:
Density of states at the Fermi level   0.226 states/eV/atom
Relative energy among the computed polymorphs   0.0975 eV per atom
Crystal system   tetragonal


Record 4
First-principles (PBE) data for Rb3Sm3VS8 after structural relaxation, as listed in the Alexandria database.

Structure (POSCAR):
```
Rb3Sm3VS8
1.0
-2.412 7.520 -1.313
0.113 -5.277 -6.021
-6.649 -1.062 6.133
Rb Sm V S
3 3 1 8
direct
0.000 0.000 0.000 Rb
0.000 0.500 0.000 Rb
0.500 0.500 0.000 Rb
0.500 0.000 0.500 Sm
0.500 0.500 0.500 Sm
0.000 0.500 0.500 Sm
0.000 0.000 0.500 V
0.267 0.535 0.302 S
0.733 0.465 0.698 S
0.792 0.585 0.322 S
0.208 0.415 0.678 S
0.792 0.029 0.322 S
0.208 0.971 0.678 S
0.237 0.029 0.322 S
0.763 0.971 0.678 S
```

Computed properties:
E_tot   -5.502 eV/atom
Density of states at the Fermi level   0.424 states/eV/atom
Crystal system   trigonal